# HPb | Alexandria via LeMat-Bulk | PBE | relaxed
# - Crystal system: hexagonal
# - Space-group type: P6_3mc, No. 186
# - Magnetization: 0.00 μB/atom
# - Calculated density: 8.850 g/cm3
# - E: -0.112 hartree per atom
# - Offset from the most stable computed form: 125 meV per atom
data_HPb
_chemical_formula_sum 'H2 Pb2'
_cell_length_a 3.794
_cell_length_b 3.794
_cell_length_c 6.267
_cell_angle_alpha 90.00
_cell_angle_beta 90.00
_cell_angle_gamma 120.00
_symmetry_space_group_name_H-M 'P 1'
_symmetry_Int_Tables_number 1
loop_
_symmetry_equiv_pos_as_xyz
'x,y,z'
loop_
_atom_site_label
_atom_site_type_symbol
_atom_site_fract_x
_atom_site_fract_y
_atom_site_fract_z
Pb1 Pb 0.333 0.667 0.724
Pb2 Pb 0.667 0.333 0.224
H1 H 0.667 0.333 0.858
H2 H 0.333 0.667 0.358

***

# PuNbOs | Alexandria via LeMat-Bulk | PBE | relaxed
# - Crystal system: orthorhombic
# - Space-group type: Fmmm, No. 69
# - E_form: 17 meV per atom
# - Magnetization: 1.47 μB/atom
# - Calculated density: 14.936 g/cm3
# - E: -0.436 hartree per atom
# - Offset from the most stable computed form: 0 meV per atom
data_PuNbOs
_chemical_formula_sum 'Pu2 Nb2 Os2'
_cell_length_a 5.423
_cell_length_b 5.423
_cell_length_c 5.285
_cell_angle_alpha 106.70
_cell_angle_beta 106.70
_cell_angle_gamma 116.09
_symmetry_space_group_name_H-M 'P 1'
_symmetry_Int_Tables_number 1
loop_
_symmetry_equiv_pos_as_xyz
'x,y,z'
loop_
_atom_site_label
_atom_site_type_symbol
_atom_site_fract_x
_atom_site_fract_y
_atom_site_fract_z
Pu1 Pu 0.344 0.656 0.000
Pu2 Pu 0.656 0.344 0.000
Nb1 Nb 0.840 0.840 0.680
Nb2 Nb 0.160 0.160 0.320
Os1 Os 0.750 0.250 0.500
Os2 Os 0.250 0.750 0.500

***

# AlBiPd6 | Alexandria via LeMat-Bulk | PBE | relaxed
# - Crystal system: tetragonal
# - Space-group type: P4/mmm, No. 123
# - E_form: -445 meV per atom
# - Magnetization: 0.00 μB/atom
# - Calculated density: 11.146 g/cm3
# - E: -0.195 hartree per atom
data_AlBiPd6
_chemical_formula_sum 'Al1 Bi1 Pd6'
_cell_length_a 4.034
_cell_length_b 4.034
_cell_length_c 8.007
_cell_angle_alpha 90.00
_cell_angle_beta 90.00
_cell_angle_gamma 90.00
_symmetry_space_group_name_H-M 'P 1'
_symmetry_Int_Tables_number 1
loop_
_symmetry_equiv_pos_as_xyz
'x,y,z'
loop_
_atom_site_label
_atom_site_type_symbol
_atom_site_fract_x
_atom_site_fract_y
_atom_site_fract_z
Pd1 Pd 0.500 0.500 0.500
Pd2 Pd 0.500 0.000 0.267
Pd3 Pd 0.000 0.500 0.267
Pd4 Pd 0.500 0.000 0.733
Pd5 Pd 0.000 0.500 0.733
Pd6 Pd 0.500 0.500 0.000
Al1 Al 0.000 0.000 0.500
Bi1 Bi 0.000 0.000 0.000